[1]
Material: La6CoAu2N
Method: DFT, PBE
State: relaxed

The structure in POSCAR format:
```
La6CoAu2N
1.0
-5.997 2.784 -2.103
-3.486 -2.935 6.057
2.169 8.666 5.448
N La Co Au
2 12 2 4
Cartesian
-1.743 -1.468 3.028 N
-1.914 5.725 1.673 N
-4.108 4.612 9.114 La
-5.656 8.176 8.252 La
-3.425 2.717 6.030 La
-0.843 3.839 3.134 La
-6.472 4.675 6.268 La
-1.659 0.338 1.150 La
-3.207 9.185 5.590 La
-4.107 -0.670 3.813 La
-3.206 3.902 0.288 La
-0.688 5.525 6.783 La
-3.889 5.797 3.373 La
-6.627 2.989 2.620 La
-2.999 1.392 -1.051 Co
-0.659 2.865 5.753 Co
-2.932 -0.434 6.733 Au
-4.382 8.948 2.670 Au
-3.583 2.285 2.933 Au
-3.731 6.229 6.470 Au
```

Computed properties:
Size of the total moment (μB per formula unit): 0.0
Space-group type: P2_1/c
ΔE_f (raw) (eV/atom): -0.62



[2]
Material: La2Nd2CoAu2
Method: DFT, PBE
State: relaxed

The structure in POSCAR format:
```
La2Nd2CoAu2
1.0
4.101 -0.002 0.002
-0.003 7.267 0.689
2.051 3.699 7.099
Nd Au La Co
2 2 2 1
Cartesian
2.049 5.371 0.798 Nd
4.100 5.593 6.993 Nd
4.100 3.279 2.013 Au
2.049 7.684 5.778 Au
2.048 3.536 4.380 La
4.101 7.428 3.411 La
0.000 0.000 0.000 Co
```

Computed properties:
Size of the total moment (μB per formula unit): 0.0
E_form (meV/atom): -439
Space-group type: P-1



[3]
Material: LaNdCoAu
Method: DFT, PBE
State: relaxed

The structure in POSCAR format:
```
LaNdCoAu
1.0
5.146 0.000 0.000
2.573 4.456 0.000
2.573 1.485 4.201
Co Au La Nd
1 1 1 1
Cartesian
0.000 0.000 0.000 Co
5.146 2.971 2.101 Au
2.573 1.485 1.050 La
7.718 4.456 3.151 Nd
```

Computed properties:
Size of the total moment (μB per formula unit): 0.4
E_form (meV/atom): -304
Space-group type: F-43m